1) Crystalline BaBiSbTe2 at its relaxed geometry, computed with PBE.

Computed properties:
- crystal system = tetragonal
- space group = P4/mmm, No. 123

Unit cell a=6.312 b=6.312 c=6.262 alpha=90.00 beta=90.00 gamma=90.00
Atoms (fractional coordinates):
Sb 0.000 0.000 0.500
Te 0.000 0.500 0.000
Te 0.500 0.000 0.000
Bi 0.500 0.500 0.500
Ba 0.000 0.000 0.000

---

2) Crystalline BaBiSbTe2 at its relaxed geometry, computed with PBE.

Computed properties:
- crystal system = tetragonal
- space group = P4/mmm, No. 123

Unit cell a=6.037 b=6.037 c=5.781 alpha=90.00 beta=90.00 gamma=90.00
Site moments in Bohr magnetons follow the coordinates.
Atoms (fractional coordinates):
Sb 0.000 0.000 0.500  0.15
Te 0.000 0.500 0.000  0.04
Te 0.500 0.000 0.000  0.04
Bi 0.000 0.000 0.000  0.00
Ba 0.500 0.500 0.500  0.01

---

Pick 2): it beats the second-best structure by 934 meV/atom.

---

1) Crystalline BaSc3Bi at its relaxed geometry, computed with PBE.

Computed properties:
- crystal system = cubic
- space group = Pm-3m, No. 221

Unit cell a=5.683 b=5.683 c=5.683 alpha=90.00 beta=90.00 gamma=90.00
Site moments in Bohr magnetons follow the coordinates.
Atoms (fractional coordinates):
Sc 0.000 0.500 0.000  0.44
Sc 0.000 0.000 0.500  0.64
Sc 0.500 0.000 0.000  0.38
Bi 0.000 0.000 0.000  0.03
Ba 0.500 0.500 0.500  0.12

---

2) Crystalline BaSc3Bi at its relaxed geometry, computed with PBE.

Computed properties:
- crystal system = cubic
- space group = Pm-3m, No. 221

Unit cell a=5.352 b=5.352 c=5.352 alpha=90.00 beta=90.00 gamma=90.00
Atoms (fractional coordinates):
Sc 0.000 0.500 0.000
Sc 0.000 0.000 0.500
Sc 0.500 0.000 0.000
Bi 0.500 0.500 0.500
Ba 0.000 0.000 0.000

---

Pick 1): it beats the second-best structure by 780 meV/atom.